(1)
Here is an optimized crystal structure of NaNiTe2N from Alexandria. Energies are from PBE.

Volume (Å³ per atom): 21.70
Raw formation energy (eV per atom): 0.0972
Spin magnetization (μB/f.u.): 0.00
Energy (eV for the cell shown): -21.22
Offset from the most stable computed form (meV per atom): 0

abc: 5.6619 5.6619 3.3838
angles: 90.00 90.00 90.00
Space group P4/mmm (No. 123)
One atom of each set of equivalent atoms:
Na (0.0000, 0.0000, 0.0000) (multiplicity 1)
Ni (0.5000, 0.5000, 0.5000) (multiplicity 1)
Te (0.0000, 0.5000, 0.5000) (multiplicity 2)
N (0.5000, 0.5000, 0.0000) (multiplicity 1)

***

(2)
Here is an optimized crystal structure of NaNiTe2N from Alexandria. Energies are from PBE.

Volume (Å³ per atom): 24.78
Raw formation energy (eV per atom): 1.5639
Spin magnetization (μB/f.u.): 3.19
Energy (eV for the cell shown): -13.89
Offset from the most stable computed form (meV per atom): 1467

abc: 5.4696 5.4696 4.1423
angles: 90.00 90.00 90.00
Space group P4/mmm (No. 123)
One atom of each set of equivalent atoms:
Na (0.0000, 0.0000, 0.0000) (multiplicity 1)
Ni (0.5000, 0.5000, 0.5000) (multiplicity 1)
Te (0.0000, 0.5000, 0.0000) (multiplicity 2)
N (0.0000, 0.0000, 0.5000) (multiplicity 1)

***

(3)
Here is an optimized crystal structure of NaNiTeN2 from Alexandria. Energies are from PBE.

Volume (Å³ per atom): 15.94
Raw formation energy (eV per atom): 1.1293
Spin magnetization (μB/f.u.): 0.00
Energy (eV for the cell shown): -21.25
Offset from the most stable computed form (meV per atom): 0

abc: 3.8601 3.8601 5.3502
angles: 90.00 90.00 90.00
Space group P4/mmm (No. 123)
One atom of each set of equivalent atoms:
Na (0.0000, 0.0000, 0.0000) (multiplicity 1)
Ni (0.5000, 0.5000, 0.5000) (multiplicity 1)
Te (0.5000, 0.5000, 0.0000) (multiplicity 1)
N (0.0000, 0.5000, 0.5000) (multiplicity 2)